CdCoAsHO5 | GGA+U | relaxed

Lattice parameters (Å, degrees): 7.5341 6.0352 8.7542 90.00 90.00 90.00
Last column: nearest neighbours and their distance in Å.
Space group Pnma (No. 62)
Symmetry-distinct sites (fractional):
Cd 0.1293 0.2500 0.1741 x4  2 O 2.18-2.28
Co 0.0000 0.0000 0.5000 x4  6 O 1.98-2.12
As 0.1284 0.2500 0.8254 x4  4 O 1.71-1.74
H 0.2323 0.7500 0.9656 x4  1 O 1.00
O 0.0387 0.7500 0.0419 x4  1 H 1.60, 1 As 1.71
O 0.1202 0.0105 0.7183 x8  1 As 1.72
O 0.1450 0.2500 0.4232 x4  1 H 1.00
O 0.1860 0.7500 0.4432 x4  1 As 1.74

Total magnetization ... 3.00 μB per formula unit
Volume ... 398 Å³ per cell
Raw total energy ... -5.500 eV per atom